Arrangement a

Entry from Alexandria: a relaxed structure of PmDyAlHg (PBE).

Values from the calculation:
Size of the total moment   0.00 μB/cell
N(E_F)   1.192 states/eV/atom
SG   F-43m

a = 5.2767 Å, b = 5.2767 Å, c = 5.2767 Å
α = 60.00°, β = 60.00°, γ = 60.00°
Closest atoms and distances in Å follow each position.
Fractional coordinates of all 4 atoms:
Pm1 0.5000 0.5000 0.5000  4 Hg 3.23, 4 Al 3.23
Dy1 0.0000 0.0000 0.0000  4 Al 3.23, 4 Hg 3.23
Hg1 0.2500 0.2500 0.2500  4 Dy 3.23, 4 Pm 3.23
Al1 0.7500 0.7500 0.7500  4 Pm 3.23, 4 Dy 3.23

Arrangement b

Entry from Alexandria: a relaxed structure of PmDyAlHg (PBE).

Values from the calculation:
Size of the total moment   0.00 μB/cell
N(E_F)   0.450 states/eV/atom
SG   P4mm

a = 3.5546 Å, b = 3.5546 Å, c = 8.0394 Å
α = 90.00°, β = 90.00°, γ = 90.00°
Closest atoms and distances in Å follow each position.
Fractional coordinates of all 4 atoms:
Dy1 0.0000 0.0000 0.3657  4 Al 3.14, 4 Hg 3.20
Hg1 0.5000 0.5000 0.1189  4 Dy 3.20, 4 Pm 3.35, 4 Hg 3.55
Al1 0.5000 0.5000 0.5993  4 Dy 3.14, 4 Pm 3.19
Pm1 0.0000 0.0000 0.8441  4 Al 3.19, 4 Hg 3.35, 4 Pm 3.55

arrangement b is the most stable structure; the next one sits 42 meV per atom above it.

Arrangement a

Entry from Alexandria: a relaxed structure of TbDyAlHg (PBE).

Values from the calculation:
Size of the total moment   0.00 μB/cell
N(E_F)   1.128 states/eV/atom
SG   F-43m

a = 5.2175 Å, b = 5.2175 Å, c = 5.2175 Å
α = 60.00°, β = 60.00°, γ = 60.00°
Closest atoms and distances in Å follow each position.
Fractional coordinates of all 4 atoms:
Tb1 0.0000 0.0000 0.0000  4 Hg 3.20, 4 Al 3.20
Al1 0.2500 0.2500 0.2500  4 Tb 3.20, 4 Dy 3.20
Hg1 0.7500 0.7500 0.7500  4 Dy 3.20, 4 Tb 3.20
Dy1 0.5000 0.5000 0.5000  4 Al 3.20, 4 Hg 3.20

Arrangement b

Entry from Alexandria: a relaxed structure of TbDyAlHg (PBE).

Values from the calculation:
Size of the total moment   0.00 μB/cell
N(E_F)   0.651 states/eV/atom
SG   P4mm

a = 3.5984 Å, b = 3.5984 Å, c = 7.6439 Å
α = 90.00°, β = 90.00°, γ = 90.00°
Closest atoms and distances in Å follow each position.
Fractional coordinates of all 4 atoms:
Dy1 0.0000 0.0000 0.3668  4 Al 3.13, 4 Hg 3.22
Hg1 0.5000 0.5000 0.1097  4 Dy 3.22, 4 Tb 3.25, 4 Hg 3.60
Tb1 0.0000 0.0000 0.8461  4 Al 3.14, 4 Hg 3.25
Al1 0.5000 0.5000 0.6054  4 Dy 3.13, 4 Tb 3.14

arrangement b is the most stable structure; the next one sits 33 meV per atom above it.

Arrangement a

Entry from Alexandria: a relaxed structure of DyHoAl (PBE).

Values from the calculation:
Size of the total moment   0.00 μB/cell
N(E_F)   0.607 states/eV/atom
SG   P3m1

a = 3.5429 Å, b = 5.0521 Å, c = 5.0521 Å
α = 120.00°, β = 90.00°, γ = 90.00°
Closest atoms and distances in Å follow each position.
Fractional coordinates of all 3 atoms:
Ho1 0.3893 0.3333 0.6667  3 Al 3.07, 3 Dy 3.31
Dy1 0.9488 0.0000 0.0000  3 Al 3.09, 3 Ho 3.31
Al1 0.6620 0.6667 0.3333  3 Ho 3.07, 3 Dy 3.09

Arrangement b

Entry from Alexandria: a relaxed structure of DyHoAl (PBE).

Values from the calculation:
Size of the total moment   0.00 μB/cell
N(E_F)   1.173 states/eV/atom
SG   P6_3/mmc

a = 5.2258 Å, b = 5.2260 Å, c = 6.6306 Å
α = 90.00°, β = 90.00°, γ = 120.00°
Closest atoms and distances in Å follow each position.
Fractional coordinates of all 6 atoms:
Al1 0.6666 0.3333 0.7500  5 Ho 3.02-3.32
Al2 0.3334 0.6667 0.2500  5 Ho 3.02-3.32
Dy1 0.0000 0.0000 0.5000  2 Dy 3.32, 6 Al 3.44, 6 Ho 3.44
Dy2 0.0000 0.0000 0.0000  2 Dy 3.32, 6 Al 3.44, 6 Ho 3.44
Ho1 0.3333 0.6666 0.7500  5 Al 3.02-3.32
Ho2 0.6667 0.3334 0.2500  5 Al 3.02-3.32

arrangement b is the most stable structure; the next one sits 114 meV per atom above it.

Arrangement a

Entry from Alexandria: a relaxed structure of DyHoAl (PBE).

Values from the calculation:
Size of the total moment   0.15 μB/cell
N(E_F)   1.570 states/eV/atom
SG   C2/m

a = 4.5216 Å, b = 4.5216 Å, c = 8.0514 Å
α = 89.90°, β = 90.10°, γ = 90.00°
Closest atoms and distances in Å follow each position.
Fractional coordinates of all 6 atoms:
Ho1 0.7511 0.2489 0.3573  5 Al 3.03-3.28
Ho2 0.2489 0.7511 0.6427  5 Al 3.03-3.28
Dy1 0.7500 0.7500 0.0000  4 Al 3.12, 4 Dy 3.20
Dy2 0.2500 0.2500 0.0000  4 Al 3.12, 4 Dy 3.20
Al1 0.7488 0.2512 0.7331  5 Ho 3.03-3.28, 4 Dy 3.12
Al2 0.2512 0.7488 0.2669  5 Ho 3.03-3.28, 4 Dy 3.12

Arrangement b

Entry from Alexandria: a relaxed structure of DyHoAl (PBE).

Values from the calculation:
Size of the total moment   0.00 μB/cell
N(E_F)   1.270 states/eV/atom
SG   R3m

a = 8.1406 Å, b = 8.1406 Å, c = 3.4481 Å
α = 90.02°, β = 102.22°, γ = 155.53°
Closest atoms and distances in Å follow each position.
Fractional coordinates of all 3 atoms:
Ho1 0.3342 0.0262 0.3605  3 Al 3.15, 6 Ho 3.45
Al1 0.4624 0.4634 0.9258  3 Ho 3.15, 3 Dy 3.18-3.19, 6 Al 3.45
Dy1 0.9186 0.2346 0.1532  3 Al 3.18-3.19, 6 Dy 3.45

arrangement a is the most stable structure; the next one sits 124 meV per atom above it.

Arrangement a

Entry from Alexandria: a relaxed structure of DyHo3Al2 (PBE).

Values from the calculation:
Size of the total moment   0.00 μB/cell
N(E_F)   0.777 states/eV/atom
SG   Pmc2_1

a = 5.0790 Å, b = 6.5299 Å, c = 9.4341 Å
α = 90.00°, β = 90.00°, γ = 90.00°
Closest atoms and distances in Å follow each position.
Fractional coordinates of all 12 atoms:
Dy1 0.5000 0.5288 0.5411  3 Al 3.13-3.17, 2 Dy 3.36, 3 Ho 3.41-3.48
Dy2 0.5000 0.0288 0.4589  3 Al 3.13-3.17, 2 Dy 3.36, 3 Ho 3.41-3.48
Ho1 0.5000 0.6855 0.1771  5 Al 3.05-3.42, 2 Ho 3.40
Ho2 0.0000 0.3146 0.3216  5 Al 3.07-3.42, 2 Dy 3.41
Ho3 0.0000 0.9714 0.0415  3 Al 3.13-3.17, 5 Ho 3.36-3.47
Ho4 0.5000 0.1855 0.8229  5 Al 3.05-3.42, 2 Ho 3.40
Ho5 0.0000 0.4714 0.9585  3 Al 3.13-3.17, 5 Ho 3.36-3.47
Ho6 0.0000 0.8146 0.6784  5 Al 3.07-3.42, 2 Dy 3.41
Al1 0.0000 0.2926 0.6465  6 Ho 3.07-3.42, 2 Dy 3.13
Al2 0.5000 0.7071 0.8538  7 Ho 3.05-3.42, 1 Dy 3.17
Al3 0.5000 0.2071 0.1462  7 Ho 3.05-3.42, 1 Dy 3.17
Al4 0.0000 0.7926 0.3535  6 Ho 3.07-3.42, 2 Dy 3.13

Arrangement b

Entry from Alexandria: a relaxed structure of DyHo3Al2 (PBE).

Values from the calculation:
Size of the total moment   0.00 μB/cell
N(E_F)   0.893 states/eV/atom
SG   Cmmm

a = 4.7771 Å, b = 8.7677 Å, c = 8.8991 Å
α = 119.51°, β = 105.57°, γ = 90.00°
Closest atoms and distances in Å follow each position.
Fractional coordinates of all 12 atoms:
Ho1 0.5000 0.7500 0.0000  4 Al 3.20, 4 Dy 3.24, 4 Ho 3.50
Ho2 0.5000 0.2500 0.0000  4 Al 3.20, 4 Dy 3.24, 4 Ho 3.50
Ho3 0.8260 0.5760 0.6519  6 Al 3.25-3.31, 4 Ho 3.27-3.50, 2 Dy 3.37
Ho4 0.1740 0.9240 0.3481  6 Al 3.25-3.31, 4 Ho 3.27-3.50, 2 Dy 3.37
Ho5 0.1740 0.4240 0.3481  6 Al 3.25-3.31, 4 Ho 3.27-3.50, 2 Dy 3.37
Ho6 0.8260 0.0760 0.6519  6 Al 3.25-3.31, 4 Ho 3.27-3.50, 2 Dy 3.37
Al1 0.3423 0.8421 0.6842  8 Ho 3.20-3.31, 2 Dy 3.33-3.34
Al2 0.6581 0.6579 0.3158  8 Ho 3.20-3.31, 2 Dy 3.33-3.34
Al3 0.6577 0.1579 0.3158  8 Ho 3.20-3.31, 2 Dy 3.33-3.34
Al4 0.3419 0.3421 0.6842  8 Ho 3.20-3.31, 2 Dy 3.33-3.34
Dy1 0.0000 0.0000 0.0000  8 Ho 3.24-3.37, 4 Al 3.33-3.34
Dy2 0.0000 0.5000 0.0000  8 Ho 3.24-3.37, 4 Al 3.33-3.34

arrangement a is the most stable structure; the next one sits 98 meV per atom above it.